1.
Cr4RuAu after structural relaxation, computed with PBE-GGA.

Unit cell a=4.7907 b=4.7907 c=4.7907 alpha=60.00 beta=60.00 gamma=60.00
Positions (direct):
Ru  0.7500  0.7500  0.7500
Cr  0.3720  0.3720  0.8839
Cr  0.3720  0.8839  0.3720
Cr  0.8839  0.3720  0.3720
Cr  0.3720  0.3720  0.3720
Au  0.0000  0.0000  0.0000

Total magnetization in μB/f.u.: 0.0
DFT formation energy in eV/f.u.: 0.95

=====

2.
Na2ZnCuF6 after structural relaxation, computed with PBE-GGA.

Unit cell a=5.4684 b=5.8250 c=7.7206 alpha=90.00 beta=88.98 gamma=90.00
Positions (direct):
F  0.2099  0.1770  0.0621
F  0.2049  0.1863  0.4525
F  0.7951  0.8137  0.5475
F  0.7049  0.3137  0.9525
F  0.3908  0.9641  0.7404
F  0.7099  0.3230  0.5621
F  0.6092  0.0359  0.2596
F  0.7901  0.8230  0.9379
F  0.2901  0.6770  0.4379
F  0.1092  0.4641  0.7596
F  0.8908  0.5359  0.2404
F  0.2951  0.6863  0.0475
Na  0.9823  0.0683  0.7452
Na  0.4823  0.4317  0.2452
Na  0.0177  0.9317  0.2548
Na  0.5177  0.5683  0.7548
Zn  0.0000  0.5000  0.5000
Zn  0.5000  0.0000  0.0000
Cu  0.5000  0.0000  0.5000
Cu  0.0000  0.5000  0.0000

Total magnetization in μB/f.u.: 1.0
Formation energy from raw total energies in meV per atom: -2261

=====

3.
Ce3Sn2Hg4 after structural relaxation, computed with PBE-GGA.

Unit cell a=4.4885 b=7.9301 c=7.9301 alpha=120.00 beta=90.00 gamma=90.00
Positions (direct):
Sn  0.0000  0.3333  0.6667
Sn  0.0000  0.6667  0.3333
Hg  0.5000  0.0000  0.0000
Hg  0.0000  0.2564  0.2564
Hg  0.0000  0.7436  0.0000
Hg  0.0000  0.0000  0.7436
Ce  0.5000  0.0000  0.4068
Ce  0.5000  0.4068  0.0000
Ce  0.5000  0.5932  0.5932

Total magnetization in μB/f.u.: 3.4
DFT formation energy in eV/f.u.: -3.51

=====

4.
Pr12Cd6Ga after structural relaxation, computed with PBE-GGA.

Unit cell a=8.3263 b=8.3263 c=8.3263 alpha=88.99 beta=88.99 gamma=88.99
Positions (direct):
Pr  0.4705  0.5528  0.1938
Pr  0.0195  0.1448  0.3660
Pr  0.3660  0.0195  0.1448
Pr  0.1938  0.4705  0.5528
Pr  0.5295  0.4472  0.8062
Pr  0.5528  0.1938  0.4705
Pr  0.6340  0.9805  0.8552
Pr  0.9805  0.8552  0.6340
Pr  0.1448  0.3660  0.0195
Pr  0.8062  0.5295  0.4472
Pr  0.8552  0.6340  0.9805
Pr  0.4472  0.8062  0.5295
Ga  0.0000  0.0000  0.0000
Cd  0.7405  0.2623  0.1100
Cd  0.8900  0.2595  0.7377
Cd  0.2623  0.1100  0.7405
Cd  0.7377  0.8900  0.2595
Cd  0.2595  0.7377  0.8900
Cd  0.1100  0.7405  0.2623

Total magnetization in μB/f.u.: 0.0
DFT formation energy in eV/f.u.: -2.76

=====

5.
NpTiGa2 after structural relaxation, computed with PBE-GGA.

Unit cell a=2.8877 b=2.8877 c=9.9838 alpha=81.68 beta=81.68 gamma=60.00
Positions (direct):
Np  0.5000  0.5000  0.5000
Ti  0.0000  0.0000  0.0000
Ga  0.7434  0.7434  0.7699
Ga  0.2566  0.2566  0.2301

Total magnetization in μB/f.u.: 2.7
ΔE to the lowest computed polymorph in eV/f.u.: 0.32
DFT formation energy in eV/f.u.: -0.56

=====

6.
Mn4MoCl after structural relaxation, computed with PBE-GGA.

Unit cell a=4.8639 b=4.8639 c=4.8639 alpha=60.00 beta=60.00 gamma=60.00
Positions (direct):
Mo  0.7500  0.7500  0.7500
Mn  0.3758  0.3758  0.8727
Mn  0.3758  0.3758  0.3758
Mn  0.8727  0.3758  0.3758
Mn  0.3758  0.8727  0.3758
Cl  0.0000  0.0000  0.0000

Total magnetization in μB/f.u.: 6.9
Formation energy from raw total energies in meV per atom: 723

=====

7.
Ca2CdCl6 after structural relaxation, computed with PBE-GGA.

Unit cell a=6.4055 b=6.4055 c=12.3733 alpha=90.00 beta=90.00 gamma=90.00
Positions (direct):
Cl  0.1942  0.8058  0.8380
Cl  0.6942  0.6942  0.6620
Cl  0.6942  0.6942  0.3380
Cl  0.3058  0.3058  0.6620
Cl  0.2015  0.7985  0.5000
Cl  0.7985  0.2015  0.5000
Cl  0.2985  0.2985  0.0000
Cl  0.1942  0.8058  0.1620
Cl  0.8058  0.1942  0.1620
Cl  0.8058  0.1942  0.8380
Cl  0.7015  0.7015  0.0000
Cl  0.3058  0.3058  0.3380
Ca  0.5000  0.5000  0.1663
Ca  0.0000  0.0000  0.6663
Ca  0.0000  0.0000  0.3337
Ca  0.5000  0.5000  0.8337
Cd  0.5000  0.5000  0.5000
Cd  0.0000  0.0000  0.0000

Total magnetization in μB/f.u.: 0.0
ΔE to the lowest computed polymorph in eV/f.u.: 0.02
Formation energy from raw total energies in meV per atom: -1945

=====

8.
YMgInW2 after structural relaxation, computed with PBE-GGA.

Unit cell a=5.2455 b=4.9846 c=5.2455 alpha=90.00 beta=90.00 gamma=90.00
Positions (direct):
In  0.0000  0.0000  0.0000
Y  0.5000  0.5000  0.5000
W  0.5000  0.0000  0.0000
W  0.0000  0.0000  0.5000
Mg  0.0000  0.5000  0.0000

Total magnetization in μB/f.u.: 0.0
DFT formation energy in eV/f.u.: 8.41

=====

9.
Te2IrBr after structural relaxation, computed with PBE-GGA.

Unit cell a=10.5633 b=4.1174 c=4.1165 alpha=59.99 beta=67.31 gamma=101.20
Positions (direct):
Te  0.3258  0.6453  0.7982
Te  0.0335  0.5912  0.6149
Ir  0.1973  0.1417  0.6774
Br  0.6298  0.0494  0.2934

Total magnetization in μB/f.u.: 0.0
ΔE to the lowest computed polymorph in eV/f.u.: 0.00
Formation energy from raw total energies in meV per atom: -264

=====

10.
ScFeNi2C after structural relaxation, computed with PBE-GGA.

Unit cell a=3.8695 b=3.8131 c=3.8695 alpha=90.00 beta=90.00 gamma=90.00
Positions (direct):
C  0.0000  0.0000  0.0000
Fe  0.0000  0.5000  0.0000
Sc  0.5000  0.5000  0.5000
Ni  0.5000  0.0000  0.0000
Ni  0.0000  0.0000  0.5000

Total magnetization in μB/f.u.: 0.9
DFT formation energy in eV/f.u.: -1.21

=====

11.
Rb2ZrBr5 after structural relaxation, computed with PBE-GGA.

Unit cell a=8.3715 b=8.3717 c=7.5694 alpha=123.63 beta=123.57 gamma=90.00
Positions (direct):
Rb  0.7677  0.2673  0.5355
Rb  0.2678  0.7678  0.5355
Br  0.6893  0.6900  0.3786
Br  0.2454  0.2453  0.0497
Br  0.8043  0.2453  0.0498
Br  0.8035  0.8034  0.0480
Br  0.2445  0.8034  0.0480
Zr  0.9545  0.9546  0.9090

Total magnetization in μB/f.u.: 1.0
Formation energy from raw total energies in meV per atom: -1464

=====

12.
Pr2HoBi after structural relaxation, computed with PBE-GGA.

Unit cell a=5.0109 b=4.9665 c=4.9665 alpha=90.00 beta=90.00 gamma=90.00
Positions (direct):
Ho  0.5000  0.5000  0.5000
Pr  0.0000  0.0000  0.5000
Pr  0.0000  0.5000  0.0000
Bi  0.5000  0.0000  0.0000

Total magnetization in μB/f.u.: 0.0
ΔE to the lowest computed polymorph in eV/f.u.: 0.00
DFT formation energy in eV/f.u.: -1.60

=====

13.
Pb3IO after structural relaxation, computed with PBE-GGA.

Unit cell a=5.2224 b=5.2224 c=5.2224 alpha=90.00 beta=90.00 gamma=90.00
Positions (direct):
O  0.0000  0.0000  0.0000
Pb  0.0000  0.5000  0.0000
Pb  0.5000  0.0000  0.0000
Pb  0.0000  0.0000  0.5000
I  0.5000  0.5000  0.5000

Total magnetization in μB/f.u.: 0.0
ΔE to the lowest computed polymorph in eV/f.u.: 0.00
Formation energy from raw total energies in meV per atom: -155

=====

14.
UIn2Ni9 after structural relaxation, computed with PBE-GGA.

Unit cell a=4.8708 b=4.8708 c=8.4027 alpha=73.15 beta=73.15 gamma=60.00
Positions (direct):
Ni  0.0815  0.5841  0.7502
Ni  0.4159  0.9185  0.2498
Ni  0.5000  0.5000  0.5000
Ni  0.4159  0.4159  0.2498
Ni  0.5841  0.5841  0.7502
Ni  0.6664  0.6664  0.0008
Ni  0.3336  0.3336  0.9992
Ni  0.5841  0.0815  0.7502
Ni  0.9185  0.4159  0.2498
In  0.1409  0.1409  0.5773
In  0.8591  0.8591  0.4227
U  0.0000  0.0000  0.0000

Total magnetization in μB/f.u.: 0.1
DFT formation energy in eV/f.u.: -2.11

=====

15.
Ce6InAu2 after structural relaxation, computed with PBE-GGA.

Unit cell a=5.9859 b=7.9714 c=5.4254 alpha=63.54 beta=91.62 gamma=103.64
Positions (direct):
Au  0.3190  0.3256  0.3495
Au  0.6810  0.6744  0.6505
Ce  0.5556  0.2029  0.9275
Ce  0.8703  0.5209  0.2627
Ce  0.4444  0.7971  0.0725
Ce  0.1297  0.4791  0.7373
Ce  0.2261  0.8654  0.5993
Ce  0.7739  0.1346  0.4007
In  0.0000  0.0000  0.0000

Total magnetization in μB/f.u.: 1.6
DFT formation energy in eV/f.u.: -3.09

=====

16.
Fe2P after structural relaxation, computed with PBE-GGA.

Unit cell a=5.7919 b=5.7918 c=3.4348 alpha=90.00 beta=90.00 gamma=120.00
Positions (direct):
Fe  0.2570  0.2570  0.0000
Fe  0.7430  0.0000  0.0000
Fe  0.5910  0.5910  0.5000
Fe  0.4090  0.0000  0.5000
Fe  0.0000  0.7430  0.0000
Fe  0.0000  0.4090  0.5000
P  0.0000  0.0000  0.5000
P  0.3333  0.6667  0.0000
P  0.6667  0.3333  0.0000

Total magnetization in μB/f.u.: 2.9
DFT formation energy in eV/f.u.: -1.37

=====

17.
ZrGaAu after structural relaxation, computed with PBE-GGA.

Unit cell a=6.8662 b=3.8628 c=4.5012 alpha=90.00 beta=109.08 gamma=90.00
Positions (direct):
Zr  0.6366  0.0930  0.1651
Zr  0.2657  0.5930  0.9795
Ga  0.5978  0.5928  0.6455
Ga  0.3045  0.0928  0.4991
Au  0.9916  0.5930  0.3426
Au  0.9107  0.0930  0.8020

Total magnetization in μB/f.u.: 0.0
DFT formation energy in eV/f.u.: -1.55

=====

18.
CaAl2Au8 after structural relaxation, computed with PBE-GGA.

Unit cell a=5.6300 b=5.6300 c=8.1113 alpha=90.00 beta=90.00 gamma=90.00
Positions (direct):
Au  0.2471  0.2471  0.7892
Au  0.7529  0.7529  0.2108
Au  0.2471  0.2471  0.2108
Au  0.7529  0.2471  0.2108
Au  0.2471  0.7529  0.7892
Au  0.7529  0.2471  0.7892
Au  0.7529  0.7529  0.7892
Au  0.2471  0.7529  0.2108
Ca  0.5000  0.5000  0.5000
Al  0.5000  0.0000  0.0000
Al  0.0000  0.5000  0.0000

Total magnetization in μB/f.u.: 0.0
ΔE to the lowest computed polymorph in eV/f.u.: 1.55
DFT formation energy in eV/f.u.: -2.59

=====

19.
Rb3InBi2 after structural relaxation, computed with PBE-GGA.

Unit cell a=5.4394 b=10.5719 c=13.2750 alpha=51.90 beta=78.18 gamma=75.09
Positions (direct):
Rb  0.8070  0.8169  0.5691
Rb  0.1930  0.1831  0.4309
Rb  0.3179  0.3041  0.0600
Rb  0.9447  0.9280  0.1825
Rb  0.0553  0.0720  0.8175
Rb  0.6821  0.6959  0.9400
In  0.4370  0.4477  0.6783
In  0.5630  0.5523  0.3217
Bi  0.1199  0.5970  0.1632
Bi  0.5911  0.2275  0.5903
Bi  0.8801  0.4030  0.8368
Bi  0.4089  0.7725  0.4097

Total magnetization in μB/f.u.: 0.0
ΔE to the lowest computed polymorph in eV/f.u.: 0.66
DFT formation energy in eV/f.u.: -1.42

=====

20.
LuPaMnOs after structural relaxation, computed with PBE-GGA.

Unit cell a=4.7579 b=4.7579 c=4.7579 alpha=60.00 beta=60.00 gamma=60.00
Positions (direct):
Os  0.5000  0.5000  0.5000
Pa  0.7500  0.7500  0.7500
Mn  0.0000  0.0000  0.0000
Lu  0.2500  0.2500  0.2500

Total magnetization in μB/f.u.: 0.5
DFT formation energy in eV/f.u.: -0.42

=====

21.
Ce2AlSiPt6 after structural relaxation, computed with PBE-GGA.

Unit cell a=8.2880 b=5.4832 c=6.4458 alpha=64.83 beta=52.93 gamma=90.00
Positions (direct):
Pt  0.8869  0.7493  0.5006
Pt  0.2517  0.2559  0.9859
Pt  0.1131  0.2507  0.4994
Pt  0.7483  0.7441  0.0141
Pt  0.2520  0.7584  0.9853
Pt  0.7480  0.2416  0.0147
Ce  0.7039  0.2457  0.5084
Ce  0.2961  0.7543  0.4916
Si  0.0000  0.0000  0.0000
Al  0.5000  0.5000  0.0000

Total magnetization in μB/f.u.: 1.5
Formation energy from raw total energies in meV per atom: -921

=====

22.
Ho2CoB10 after structural relaxation, computed with PBE-GGA.

Unit cell a=4.1361 b=5.5334 c=11.0609 alpha=90.00 beta=90.00 gamma=90.00
Positions (direct):
B  0.0000  0.8416  0.3019
B  0.6997  0.2994  0.6135
B  0.0000  0.3723  0.0399
B  0.0000  0.1277  0.5399
B  0.3003  0.2006  0.1135
B  0.3003  0.7994  0.8865
B  0.0000  0.6584  0.8019
B  0.0000  0.3416  0.1981
B  0.0000  0.5290  0.3141
B  0.6997  0.7006  0.3865
B  0.0000  0.9710  0.8141
B  0.0000  0.4710  0.6859
B  0.0000  0.1584  0.6981
B  0.0000  0.6277  0.9601
B  0.0000  0.0290  0.1859
B  0.0000  0.8723  0.4601
B  0.3003  0.2994  0.6135
B  0.6997  0.7994  0.8865
B  0.3003  0.7006  0.3865
B  0.6997  0.2006  0.1135
Ho  0.5000  0.6992  0.1334
Ho  0.5000  0.3008  0.8666
Ho  0.5000  0.8008  0.6334
Ho  0.5000  0.1992  0.3666
Co  0.0000  0.0000  0.0000
Co  0.0000  0.5000  0.5000

Total magnetization in μB/f.u.: 0.0
DFT formation energy in eV/f.u.: -6.73

=====

23.
ZnOs2Se after structural relaxation, computed with PBE-GGA.

Unit cell a=4.6960 b=4.6960 c=4.6960 alpha=129.12 beta=129.12 gamma=74.82
Positions (direct):
Se  0.5000  0.5000  0.0000
Os  0.2500  0.7500  0.5000
Os  0.0000  0.0000  0.0000
Zn  0.7500  0.2500  0.5000

Total magnetization in μB/f.u.: 0.0
ΔE to the lowest computed polymorph in eV/f.u.: 1.72
Formation energy from raw total energies in meV per atom: 747